The following is a DFT calculation (PBE) of a relaxed structure of CaMg2MoPd.

Values from the calculation:
**Total DFT energy (no corrections)**: -2.6592 eV per atom
**Crystal system**: tetragonal
**Energy of formation**: 1.584 eV per atom

a b c (Å): 5.099 5.099 4.606
angles (deg): 90.00 90.00 90.00
Fractional coordinates of all 5 atoms:
Ca  0.000  0.000  0.000
Mg  0.000  0.500  0.000
Mg  0.500  0.000  0.000
Mo  0.500  0.500  0.500
Pd  0.000  0.000  0.500